# CsK2SnSb2 PBE relaxed
# * DOS(E_F): 0.30 states/eV per atom
# * total energy: -2.880 eV/atom
# * spin magnetization: 0.000 μB/atom
data_CsK2SnSb2
_space_group_name_H-M_alt 'P m c 21'
_space_group_IT_number 26
_cell_length_a 5.6889
_cell_length_b 9.4543
_cell_length_c 8.9201
_cell_angle_alpha 90.00
_cell_angle_beta 90.00
_cell_angle_gamma 90.00
loop_
_space_group_symop_operation_xyz
'x,y,z'
'-x,-y,z+1/2'
'-x,y,z'
'x,-y,z+1/2'
loop_
_atom_site_label
_atom_site_type_symbol
_atom_site_fract_x
_atom_site_fract_y
_atom_site_fract_z
Cs1 Cs 0.0000 0.0641 0.0000
K1 K 0.0000 0.3297 0.3129
K2 K 0.5000 0.4247 0.9852
Sn1 Sn 0.5000 0.1794 0.6392
Sb1 Sb 0.0000 0.3173 0.6892
Sb2 Sb 0.5000 0.1144 0.2960

=====

# Pr12Ho2Tm5 PBE relaxed
# * DOS(E_F): 1.39 states/eV per atom
# * ΔE_f: 0.10 eV/atom
# * total energy: -4.576 eV/atom
# * spin magnetization: 0.000 μB/atom
data_Pr12Ho2Tm5
_space_group_name_H-M_alt 'C 1 2/m 1'
_space_group_IT_number 12
_cell_length_a 18.0611
_cell_length_b 11.7754
_cell_length_c 6.2475
_cell_angle_alpha 90.00
_cell_angle_beta 102.28
_cell_angle_gamma 90.00
loop_
_space_group_symop_operation_xyz
'x,y,z'
'-x,-y,-z'
'-x,y,-z'
'x,-y,z'
'x+1/2,y+1/2,z'
'-x+1/2,-y+1/2,-z'
'-x+1/2,y+1/2,-z'
'x+1/2,-y+1/2,z'
loop_
_atom_site_label
_atom_site_type_symbol
_atom_site_fract_x
_atom_site_fract_y
_atom_site_fract_z
Pr1 Pr 0.0572 0.0000 0.2727
Pr2 Pr 0.1041 0.2533 0.6161
Pr3 Pr 0.1194 0.5000 0.0052
Pr4 Pr 0.1963 0.2406 0.1973
Ho1 Ho 0.0000 0.2680 0.0000
Tm1 Tm 0.0000 0.5000 0.5000
Tm2 Tm 0.1789 0.0000 0.8586
Tm3 Tm 0.2162 0.5000 0.5556

=====

# UBeFe4 PBE relaxed
# * DOS(E_F): 1.64 states/eV per atom
# * ΔE_f: 0.14 eV/atom
# * total energy: -8.002 eV/atom
# * spin magnetization: 0.929 μB/atom
data_UBeFe4
_space_group_name_H-M_alt 'F -4 3 m'
_space_group_IT_number 216
_space_group_name_Hall 'F -4 2 3'
_cell_length_a 6.8225
_cell_length_b 6.8225
_cell_length_c 6.8225
_cell_angle_alpha 90.00
_cell_angle_beta 90.00
_cell_angle_gamma 90.00
loop_
_atom_site_label
_atom_site_type_symbol
_atom_site_fract_x
_atom_site_fract_y
_atom_site_fract_z
U1 U 0.0000 0.0000 0.0000
Be1 Be 0.2500 0.2500 0.7500
Fe1 Fe 0.1239 0.1239 0.3761

=====

# CdSi2PbSe PBE relaxed
# * DOS(E_F): 0.97 states/eV per atom
# * total energy: -2.680 eV/atom
# * spin magnetization: 0.000 μB/atom
data_CdSi2PbSe
_space_group_name_H-M_alt 'P 4/m m m'
_space_group_IT_number 123
_space_group_name_Hall '-P 4 2'
_cell_length_a 5.3935
_cell_length_b 5.3935
_cell_length_c 5.4944
_cell_angle_alpha 90.00
_cell_angle_beta 90.00
_cell_angle_gamma 90.00
loop_
_atom_site_label
_atom_site_type_symbol
_atom_site_fract_x
_atom_site_fract_y
_atom_site_fract_z
Cd1 Cd 0.0000 0.0000 0.0000
Si1 Si 0.0000 0.5000 0.5000
Pb1 Pb 0.5000 0.5000 0.5000
Se1 Se 0.5000 0.5000 0.0000